VASP calculation (PBE-GGA) on LaZn4Ni2 after structural relaxation.

abc: 7.4707 7.4707 4.0853
angles: 90.00 90.00 90.00
Fractional coordinates of all 14 atoms:
La1 0.0000 0.0000 0.0000
La2 0.5000 0.5000 0.5000
Zn1 0.0894 0.3452 0.5000
Zn2 0.1548 0.5894 0.0000
Zn3 0.3452 0.0894 0.5000
Zn4 0.4106 0.8452 0.0000
Zn5 0.5894 0.1548 0.0000
Zn6 0.6548 0.9106 0.5000
Zn7 0.8452 0.4106 0.0000
Zn8 0.9106 0.6548 0.5000
Ni1 0.2264 0.7736 0.5000
Ni2 0.2736 0.2736 0.0000
Ni3 0.7264 0.7264 0.0000
Ni4 0.7736 0.2264 0.5000

Properties
space-group type	P4_2/mnm, No. 136
magnetic moment	0.0	Bohr magnetons per cell
DFT formation energy	-2.41	eV per formula unit
N(E_F)	5.72	states/eV per cell